Record 1
Crystalline Cu2S3O12 at its relaxed geometry. Source: Alexandria, functional PBE-GGA.

E_form (uncorrected) (eV/atom): -0.949
Energy relative to the lowest polymorph listed for this composition (meV/atom): 14

a b c (Å): 8.273 8.622 14.214
angles (deg): 90.00 124.56 90.00
Space group P2_1/c (No. 14)
Inequivalent atoms, fractional coordinates:
Cu1 0.137 0.031 0.388 (multiplicity 4)
Cu2 0.362 0.041 0.110 (multiplicity 4)
S1 0.036 0.618 0.647 (multiplicity 4)
S2 0.259 0.120 0.652 (multiplicity 4)
S3 0.455 0.748 0.997 (multiplicity 4)
O1 0.030 0.725 0.189 (multiplicity 4)
O2 0.127 0.509 0.746 (multiplicity 4)
O3 0.132 0.071 0.690 (multiplicity 4)
O4 0.154 0.096 0.527 (multiplicity 4)
O5 0.161 0.620 0.603 (multiplicity 4)
O6 0.168 0.064 0.940 (multiplicity 4)
O7 0.258 0.681 0.952 (multiplicity 4)
O8 0.289 0.209 0.175 (multiplicity 4)
O9 0.395 0.127 0.437 (multiplicity 4)
O10 0.443 0.029 0.715 (multiplicity 4)
O11 0.454 0.694 0.398 (multiplicity 4)
O12 0.493 0.628 0.579 (multiplicity 4)

Record 2
Crystalline Cu4SO at its relaxed geometry. Source: Alexandria, functional PBE-GGA.

E_form (uncorrected) (eV/atom): -0.190

a b c (Å): 3.963 7.133 6.045
angles (deg): 90.00 90.00 90.00
Space group Pmmn (No. 59, origin choice 2)
Inequivalent atoms, fractional coordinates:
Cu1 0.250 0.002 0.216 (multiplicity 4)
Cu2 0.250 0.250 0.754 (multiplicity 2)
Cu3 0.250 0.750 0.825 (multiplicity 2)
S1 0.250 0.750 0.418 (multiplicity 2)
O1 0.250 0.250 0.101 (multiplicity 2)

Record 3
Crystalline Cu2S3O12 at its relaxed geometry. Source: Alexandria, functional PBE-GGA.

E_form (uncorrected) (eV/atom): -0.963
Energy relative to the lowest polymorph listed for this composition (meV/atom): 0

a b c (Å): 8.2026 8.2026 22.5336
angles (deg): 90.00 90.00 120.00
Space group R-3 (No. 148, hexagonal axes)
Inequivalent atoms, fractional coordinates:
Cu1 0.0000 0.0000 0.1462 (multiplicity 6)
Cu2 0.0000 0.0000 0.3441 (multiplicity 6)
S1 0.0009 0.7080 0.2501 (multiplicity 18)
O1 0.0139 0.7960 0.1915 (multiplicity 18)
O2 0.0476 0.2143 0.0889 (multiplicity 18)
O3 0.0899 0.2294 0.3992 (multiplicity 18)
O4 0.0931 0.2335 0.7045 (multiplicity 18)

Record 4
Crystalline CuSO6 at its relaxed geometry. Source: Alexandria, functional PBE-GGA.

E_form (uncorrected) (eV/atom): -0.144
Energy relative to the lowest polymorph listed for this composition (meV/atom): 0

a b c (Å): 7.375 6.485 5.256
angles (deg): 90.00 98.00 90.00
Space group C2/m (No. 12)
Inequivalent atoms, fractional coordinates:
Cu1 0.000 0.000 0.000 (multiplicity 2)
S1 0.000 0.000 0.500 (multiplicity 2)
O1 0.003 0.176 0.729 (multiplicity 8)
O2 0.217 0.000 0.537 (multiplicity 4)

Record 5
Crystalline Cu2S3O12 at its relaxed geometry. Source: Alexandria, functional PBE-GGA.

E_form (uncorrected) (eV/atom): -0.954
Energy relative to the lowest polymorph listed for this composition (meV/atom): 9

a b c (Å): 13.993 8.250 9.703
angles (deg): 90.00 125.68 90.00
Space group C2/c (No. 15)
Inequivalent atoms, fractional coordinates:
Cu1 0.115 0.246 0.044 (multiplicity 8)
S1 0.000 0.488 0.250 (multiplicity 4)
S2 0.142 0.104 0.657 (multiplicity 8)
O1 0.022 0.130 0.621 (multiplicity 8)
O2 0.059 0.396 0.192 (multiplicity 8)
O3 0.098 0.407 0.892 (multiplicity 8)
O4 0.151 0.155 0.524 (multiplicity 8)
O5 0.168 0.074 0.205 (multiplicity 8)
O6 0.223 0.188 0.826 (multiplicity 8)

Record 6
Crystalline Cu5S2O18 at its relaxed geometry. Source: Alexandria, functional PBE-GGA.

E_form (uncorrected) (eV/atom): -0.521

a b c (Å): 5.490 5.751 10.795
angles (deg): 82.58 88.44 89.42
Space group P-1 (No. 2)
Inequivalent atoms, fractional coordinates:
Cu1 0.000 0.000 0.000 (multiplicity 1)
Cu2 0.000 0.000 0.500 (multiplicity 1)
Cu3 0.000 0.500 0.000 (multiplicity 1)
Cu4 0.500 0.251 0.997 (multiplicity 2)
S1 0.206 0.668 0.314 (multiplicity 2)
O1 0.043 0.868 0.353 (multiplicity 2)
O2 0.075 0.227 0.092 (multiplicity 2)
O3 0.106 0.442 0.369 (multiplicity 2)
O4 0.192 0.700 0.175 (multiplicity 2)
O5 0.318 0.850 0.575 (multiplicity 2)
O6 0.320 0.013 0.936 (multiplicity 2)
O7 0.320 0.520 0.937 (multiplicity 2)
O8 0.341 0.817 0.689 (multiplicity 2)
O9 0.456 0.697 0.354 (multiplicity 2)

Record 7
Crystalline CuSO6 at its relaxed geometry. Source: Alexandria, functional PBE-GGA.

E_form (uncorrected) (eV/atom): -0.043
Energy relative to the lowest polymorph listed for this composition (meV/atom): 101

a b c (Å): 9.403 4.916 4.280
angles (deg): 90.00 115.44 90.00
Space group C2/m (No. 12)
Inequivalent atoms, fractional coordinates:
Cu1 0.000 0.000 0.000 (multiplicity 2)
S1 0.000 0.500 0.500 (multiplicity 2)
O1 0.080 0.265 0.800 (multiplicity 8)
O2 0.165 0.500 0.479 (multiplicity 4)

Record 8
Crystalline CuSO4 at its relaxed geometry. Source: Alexandria, functional PBE-GGA.

E_form (uncorrected) (eV/atom): -0.976

a b c (Å): 4.684 4.684 7.476
angles (deg): 90.00 90.00 90.00
Space group P-42c (No. 112)
Inequivalent atoms, fractional coordinates:
Cu1 0.000 0.000 0.000 (multiplicity 2)
S1 0.000 0.500 0.250 (multiplicity 2)
O1 0.186 0.315 0.364 (multiplicity 8)

Q: What is the formula in the fourth record?
A: CuSO6